1.
Compound: ZrMo2RhPb
Source: Alexandria
Functional: PBE-GGA
Structure: optimized geometry

Computed properties:
The magnetic moment is 0.00 μB/cell. As for the energy: -35.23 eV/cell. As for the density of states at the Fermi level: 1.13 states/eV per atom. Its symmetry is P4/mmm (123).

abc: 4.777 4.993 4.777
angles: 90.00 90.00 90.00
Positions (direct):
Pb (0.000, 0.500, 0.000)
Mo (0.000, 0.000, 0.500)
Mo (0.500, 0.000, 0.000)
Rh (0.000, 0.000, 0.000)
Zr (0.500, 0.500, 0.500)



2.
Compound: Pm4YHo2
Source: Alexandria
Functional: PBE-GGA
Structure: optimized geometry

Computed properties:
The magnetic moment is 0.00 μB/cell. As for the density of states at the Fermi level: 1.26 states/eV per atom. The calculation puts the offset from the most stable computed form at 124 meV/atom. Its symmetry is C2 (5).

abc: 8.943 8.942 8.940
angles: 134.61 99.66 97.45
Positions (direct):
Pm (0.874, 0.130, 0.256)
Pm (0.376, 0.698, 0.322)
Pm (0.874, 0.696, 0.822)
Pm (0.786, 0.019, 0.732)
Pm (0.287, 0.019, 0.233)
Pm (0.376, 0.132, 0.756)
Pm (0.464, 0.696, 0.734)
Pm (0.963, 0.696, 0.232)
Y (0.092, 0.686, 0.594)
Y (0.157, 0.251, 0.093)
Ho (0.657, 0.250, 0.593)
Ho (0.593, 0.686, 0.094)
Ho (0.625, 0.395, 0.269)
Ho (0.125, 0.395, 0.770)



3.
Compound: Ba2Mg12AlZn3
Source: Alexandria
Functional: PBE-GGA
Structure: optimized geometry

Computed properties:
The magnetic moment is 0.00 μB/cell. As for the energy: -26.06 eV/cell. As for the density of states at the Fermi level: 0.45 states/eV per atom. Its symmetry is R-3m (166).

abc: 8.995 8.995 8.995
angles: 64.31 64.31 64.31
Positions (direct):
Ba (0.606, 0.606, 0.606)
Ba (0.394, 0.394, 0.394)
Mg (0.320, 0.320, 0.908)
Mg (0.886, 0.886, 0.362)
Mg (0.362, 0.886, 0.886)
Mg (0.908, 0.320, 0.320)
Mg (0.886, 0.362, 0.886)
Mg (0.320, 0.908, 0.320)
Mg (0.680, 0.680, 0.092)
Mg (0.114, 0.114, 0.638)
Mg (0.638, 0.114, 0.114)
Mg (0.092, 0.680, 0.680)
Mg (0.114, 0.638, 0.114)
Mg (0.680, 0.092, 0.680)
Al (0.000, 0.000, 0.000)
Zn (0.500, 0.000, 0.000)
Zn (0.000, 0.500, 0.000)
Zn (0.000, 0.000, 0.500)



4.
Compound: HgRhSCl2
Source: Alexandria
Functional: PBE-GGA
Structure: optimized geometry

Computed properties:
The magnetic moment is 0.00 μB/cell. Its formation energy (no corrections) is -0.051 eV/atom. As for the density of states at the Fermi level: 0.53 states/eV per atom. The calculation puts the offset from the most stable computed form at 0 meV/atom. Its symmetry is P4/mmm (123).

abc: 4.953 4.953 4.527
angles: 90.00 90.00 90.00
Positions (direct):
S (0.000, 0.000, 0.500)
Rh (0.000, 0.000, 0.000)
Hg (0.500, 0.500, 0.500)
Cl (0.000, 0.500, 0.000)
Cl (0.500, 0.000, 0.000)



5.
Compound: BaNaZr3
Source: Alexandria
Functional: PBE-GGA
Structure: optimized geometry

Computed properties:
The magnetic moment is 0.52 μB/cell. As for the density of states at the Fermi level: 2.20 states/eV per atom. The calculation puts the offset from the most stable computed form at 370 meV/atom. Its symmetry is Pm-3m (221).

abc: 5.417 5.417 5.417
angles: 90.00 90.00 90.00
Positions (direct):
Na (0.500, 0.500, 0.500)
Ba (0.000, 0.000, 0.000)
Zr (0.000, 0.500, 0.000)
Zr (0.000, 0.000, 0.500)
Zr (0.500, 0.000, 0.000)



6.
Compound: Na2ZrBiBr
Source: Alexandria
Functional: PBE-GGA
Structure: optimized geometry

Computed properties:
The magnetic moment is 1.99 μB/cell. Its formation energy (no corrections) is 0.047 eV/atom. As for the density of states at the Fermi level: 0.55 states/eV per atom. The calculation puts the offset from the most stable computed form at 0 meV/atom. Its symmetry is P4/mmm (123).

abc: 5.932 5.688 5.932
angles: 90.00 90.00 90.00
Positions (direct):
Na (0.000, 0.000, 0.500)
Na (0.500, 0.000, 0.000)
Br (0.500, 0.500, 0.500)
Bi (0.000, 0.000, 0.000)
Zr (0.000, 0.500, 0.000)



7.
Compound: Zr2ScPt
Source: Alexandria
Functional: PBE-GGA
Structure: optimized geometry

Computed properties:
The magnetic moment is 0.00 μB/cell. As for the density of states at the Fermi level: 1.35 states/eV per atom. The calculation puts the offset from the most stable computed form at 292 meV/atom. Its symmetry is I-42d (122).

abc: 7.976 7.976 6.327
angles: 50.93 50.93 90.00
Positions (direct):
Sc (0.500, 0.500, 0.000)
Sc (0.250, 0.750, 0.500)
Zr (0.675, 0.125, 0.250)
Zr (0.075, 0.625, 0.250)
Zr (0.375, 0.325, 0.750)
Zr (0.875, 0.925, 0.750)
Pt (0.000, 0.000, 0.000)
Pt (0.750, 0.250, 0.500)



8.
Compound: Li3Nb4CuO12
Source: Alexandria
Functional: PBE-GGA
Structure: optimized geometry

Computed properties:
The magnetic moment is 0.09 μB/cell. Its formation energy (no corrections) is -2.314 eV/atom. Its symmetry is P1 (1).

abc: 5.228 5.620 7.690
angles: 84.44 89.98 89.86
Positions (direct):
Li (0.503, 0.937, 0.717)
Li (0.996, 0.445, 0.222)
Li (0.502, 0.940, 0.224)
Nb (0.002, 0.012, 0.499)
Nb (0.495, 0.509, 0.010)
Nb (0.001, 0.008, 0.999)
Nb (0.497, 0.500, 0.504)
Cu (0.997, 0.540, 0.769)
O (0.316, 0.852, 0.462)
O (0.824, 0.359, 0.971)
O (0.876, 0.049, 0.267)
O (0.380, 0.553, 0.769)
O (0.800, 0.735, 0.586)
O (0.309, 0.231, 0.087)
O (0.129, 0.040, 0.768)
O (0.625, 0.553, 0.269)
O (0.183, 0.350, 0.454)
O (0.682, 0.861, 0.963)
O (0.686, 0.224, 0.583)
O (0.197, 0.733, 0.091)



9.
Compound: Y2HgS4
Source: Alexandria
Functional: PBE-GGA
Structure: optimized geometry

Computed properties:
The magnetic moment is 0.00 μB/cell. Its formation energy (no corrections) is -1.521 eV/atom. As for the density of states at the Fermi level: 0.01 states/eV per atom. Its symmetry is Fd-3m (227).

abc: 8.016 8.020 13.894
angles: 106.81 90.00 119.99
Positions (direct):
Y (0.500, 0.000, 0.000)
Y (0.000, 0.000, 0.500)
Y (0.000, 0.500, 0.000)
Y (0.500, 0.500, 0.500)
Y (0.250, 0.000, 0.250)
Y (0.750, 0.000, 0.750)
Y (0.500, 0.000, 0.500)
Y (0.000, 0.000, 0.000)
Hg (0.938, 0.375, 0.312)
Hg (0.437, 0.375, 0.812)
Hg (0.563, 0.625, 0.188)
Hg (0.062, 0.625, 0.688)
S (0.363, 0.758, 0.121)
S (0.863, 0.758, 0.621)
S (0.137, 0.242, 0.379)
S (0.637, 0.242, 0.879)
S (0.137, 0.774, 0.379)
S (0.637, 0.774, 0.879)
S (0.629, 0.758, 0.387)
S (0.129, 0.758, 0.887)
S (0.895, 0.758, 0.121)
S (0.395, 0.758, 0.621)
S (0.871, 0.242, 0.113)
S (0.371, 0.242, 0.613)
S (0.363, 0.226, 0.121)
S (0.863, 0.226, 0.621)
S (0.605, 0.242, 0.379)
S (0.105, 0.242, 0.879)



10.
Compound: Zr3SnC
Source: Alexandria
Functional: PBE-GGA
Structure: optimized geometry

Computed properties:
The magnetic moment is 0.00 μB/cell. As for the energy: -79.63 eV/cell. As for the density of states at the Fermi level: 0.77 states/eV per atom. Its symmetry is C2/m (12).

abc: 4.478 6.399 7.660
angles: 80.20 90.00 110.48
Positions (direct):
Zr (0.032, 0.063, 0.163)
Zr (0.968, 0.937, 0.837)
Zr (0.695, 0.389, 0.886)
Zr (0.305, 0.611, 0.114)
Zr (0.843, 0.686, 0.445)
Zr (0.157, 0.314, 0.555)
Sn (0.371, 0.742, 0.692)
Sn (0.629, 0.258, 0.308)
C (0.152, 0.303, 0.894)
C (0.848, 0.697, 0.106)



11.
Compound: SmYZnCu
Source: Alexandria
Functional: PBE-GGA
Structure: optimized geometry

Computed properties:
The magnetic moment is 0.00 μB/cell. As for the density of states at the Fermi level: 0.59 states/eV per atom. The calculation puts the offset from the most stable computed form at 4 meV/atom. Its symmetry is F-43m (216).

abc: 5.041 5.041 5.041
angles: 60.00 60.00 60.00
Positions (direct):
Y (0.750, 0.750, 0.750)
Zn (0.000, 0.000, 0.000)
Cu (0.500, 0.500, 0.500)
Sm (0.250, 0.250, 0.250)



12.
Compound: Hf6GaNi
Source: Alexandria
Functional: PBE-GGA
Structure: optimized geometry

Computed properties:
The magnetic moment is 0.00 μB/cell. As for the energy: -67.34 eV/cell. As for the density of states at the Fermi level: 1.07 states/eV per atom. Its symmetry is C2/m (12).

abc: 6.012 6.051 6.060
angles: 60.05 76.98 63.19
Positions (direct):
Hf (0.743, 0.471, 0.593)
Hf (0.743, 0.064, 0.407)
Hf (0.257, 0.936, 0.593)
Hf (0.257, 0.529, 0.407)
Hf (0.735, 0.739, 0.000)
Hf (0.265, 0.261, 0.000)
Ga (0.000, 0.000, 0.000)
Ni (0.500, 0.500, 0.000)



13.
Compound: Ac3In2Si
Source: Alexandria
Functional: PBE-GGA
Structure: optimized geometry

Computed properties:
The magnetic moment is 0.00 μB/cell. Its formation energy (no corrections) is -0.417 eV/atom. As for the density of states at the Fermi level: 1.05 states/eV per atom. Its symmetry is Pnma (62).

abc: 4.455 13.713 13.443
angles: 90.00 90.00 90.00
Positions (direct):
Ac (0.250, 0.377, 0.059)
Ac (0.750, 0.623, 0.941)
Ac (0.750, 0.877, 0.441)
Ac (0.250, 0.123, 0.559)
Ac (0.250, 0.721, 0.221)
Ac (0.750, 0.279, 0.779)
Ac (0.750, 0.221, 0.279)
Ac (0.250, 0.779, 0.721)
Ac (0.250, 0.456, 0.384)
Ac (0.750, 0.544, 0.616)
Ac (0.750, 0.956, 0.116)
Ac (0.250, 0.044, 0.884)
In (0.250, 0.691, 0.483)
In (0.750, 0.309, 0.517)
In (0.750, 0.191, 0.017)
In (0.250, 0.809, 0.983)
In (0.250, 0.019, 0.310)
In (0.750, 0.981, 0.690)
In (0.750, 0.519, 0.190)
In (0.250, 0.481, 0.810)
Si (0.250, 0.132, 0.128)
Si (0.750, 0.868, 0.872)
Si (0.750, 0.632, 0.372)
Si (0.250, 0.368, 0.628)



14.
Compound: Mg4ZnIn
Source: Alexandria
Functional: PBE-GGA
Structure: optimized geometry

Computed properties:
The magnetic moment is 0.00 μB/cell. As for the density of states at the Fermi level: 0.43 states/eV per atom. The calculation puts the offset from the most stable computed form at 0 meV/atom. Its symmetry is P4/mmm (123).

abc: 4.662 4.662 6.778
angles: 89.99 90.00 90.02
Positions (direct):
Mg (0.501, 0.997, 0.266)
Mg (0.501, 0.997, 0.730)
Mg (0.001, 0.497, 0.730)
Mg (0.001, 0.497, 0.266)
Zn (0.001, 0.997, 0.498)
In (0.501, 0.497, 0.998)



15.
Compound: Nd2InBi
Source: Alexandria
Functional: PBE-GGA
Structure: optimized geometry

Computed properties:
The magnetic moment is 0.00 μB/cell. As for the density of states at the Fermi level: 0.58 states/eV per atom. The calculation puts the offset from the most stable computed form at 112 meV/atom. Its symmetry is R-3m (166).

abc: 4.394 4.394 8.509
angles: 75.04 75.04 60.00
Positions (direct):
Nd (0.246, 0.246, 0.262)
Nd (0.754, 0.754, 0.738)
Bi (0.500, 0.500, 0.500)
In (0.000, 0.000, 0.000)



16.
Compound: LiRe2
Source: Alexandria
Functional: PBE-GGA
Structure: optimized geometry

Computed properties:
The magnetic moment is 0.00 μB/cell. As for the density of states at the Fermi level: 0.33 states/eV per atom. The calculation puts the offset from the most stable computed form at 356 meV/atom. Its symmetry is P6_3/mmc (194).

abc: 5.252 5.252 8.272
angles: 90.00 90.00 120.00
Positions (direct):
Re (0.000, 0.000, 0.000)
Re (0.000, 0.000, 0.500)
Re (0.826, 0.652, 0.250)
Re (0.174, 0.348, 0.750)
Re (0.348, 0.174, 0.250)
Re (0.826, 0.174, 0.250)
Re (0.174, 0.826, 0.750)
Re (0.652, 0.826, 0.750)
Li (0.333, 0.667, 0.066)
Li (0.667, 0.333, 0.566)
Li (0.667, 0.333, 0.934)
Li (0.333, 0.667, 0.434)



17.
Compound: Ho4Th3Sc2
Source: Alexandria
Functional: PBE-GGA
Structure: optimized geometry

Computed properties:
The magnetic moment is 0.00 μB/cell. As for the energy: -52.32 eV/cell. As for the density of states at the Fermi level: 2.02 states/eV per atom. Its symmetry is P3m1 (156).

abc: 3.494 3.494 25.835
angles: 90.00 90.00 120.00
Positions (direct):
Ho (0.000, 0.000, 0.544)
Ho (0.667, 0.333, 0.433)
Ho (0.667, 0.333, 0.209)
Ho (0.000, 0.000, 0.771)
Th (0.000, 0.000, 0.983)
Th (0.000, 0.000, 0.319)
Th (0.667, 0.333, 0.657)
Sc (0.667, 0.333, 0.087)
Sc (0.667, 0.333, 0.875)



18.
Compound: Ca2ScTc
Source: Alexandria
Functional: PBE-GGA
Structure: optimized geometry

Computed properties:
The magnetic moment is 0.13 μB/cell. As for the density of states at the Fermi level: 1.09 states/eV per atom. The calculation puts the offset from the most stable computed form at 150 meV/atom. Its symmetry is Imm2 (44).

abc: 6.472 6.472 6.472
angles: 149.45 127.98 61.54
Positions (direct):
Sc (0.437, 0.437, 0.000)
Ca (0.049, 0.049, 0.000)
Ca (0.745, 0.245, 0.500)
Tc (0.269, 0.769, 0.500)



19.
Compound: Pr2SeCl2
Source: Alexandria
Functional: PBE-GGA
Structure: optimized geometry

Computed properties:
The magnetic moment is 0.00 μB/cell. Its formation energy (no corrections) is -1.963 eV/atom. As for the density of states at the Fermi level: 0.58 states/eV per atom. Its symmetry is C2/m (12).

abc: 4.203 4.213 10.111
angles: 90.40 90.00 119.92
Positions (direct):
Pr (0.831, 0.662, 0.337)
Pr (0.169, 0.338, 0.663)
Se (0.500, 0.000, 0.500)
Cl (0.162, 0.325, 0.173)
Cl (0.838, 0.675, 0.827)



20.
Compound: BeTePt
Source: Alexandria
Functional: PBE-GGA
Structure: optimized geometry

Computed properties:
The magnetic moment is 0.00 μB/cell. Its formation energy (no corrections) is -0.433 eV/atom. As for the density of states at the Fermi level: 0.36 states/eV per atom. Its symmetry is P1 (1).

abc: 4.207 3.240 9.169
angles: 89.75 96.79 67.36
Positions (direct):
Be (0.550, 0.619, 0.547)
Be (0.997, 0.894, 0.623)
Te (0.489, 0.652, 0.263)
Te (0.925, 0.426, 0.900)
Pt (0.081, 0.354, 0.449)
Pt (0.463, 0.159, 0.722)



21.
Compound: TbSm5Bi4
Source: Alexandria
Functional: PBE-GGA
Structure: optimized geometry

Computed properties:
The magnetic moment is 0.00 μB/cell. As for the energy: -49.11 eV/cell. As for the density of states at the Fermi level: 0.66 states/eV per atom. Its symmetry is C2/m (12).

abc: 4.461 8.680 9.915
angles: 105.58 103.00 90.00
Positions (direct):
Tb (0.500, 0.000, 0.000)
Sm (0.821, 0.648, 0.642)
Sm (0.837, 0.182, 0.674)
Sm (0.163, 0.818, 0.326)
Sm (0.500, 0.500, 0.000)
Sm (0.179, 0.352, 0.358)
Bi (0.332, 0.916, 0.663)
Bi (0.991, 0.745, 0.982)
Bi (0.668, 0.084, 0.337)
Bi (0.009, 0.255, 0.018)



22.
Compound: Fe2CoSn2
Source: Alexandria
Functional: PBE-GGA
Structure: optimized geometry

Computed properties:
The magnetic moment is 12.09 μB/cell. As for the energy: -61.21 eV/cell. As for the density of states at the Fermi level: 1.44 states/eV per atom. Its symmetry is P4/mbm (127).

abc: 6.353 6.353 4.071
angles: 90.00 90.00 90.00
Positions (direct):
Co (0.000, 0.000, 0.000)
Co (0.500, 0.500, 0.000)
Sn (0.175, 0.675, 0.500)
Sn (0.675, 0.825, 0.500)
Sn (0.825, 0.325, 0.500)
Sn (0.325, 0.175, 0.500)
Fe (0.365, 0.865, 0.000)
Fe (0.865, 0.635, 0.000)
Fe (0.635, 0.135, 0.000)
Fe (0.135, 0.365, 0.000)